Entry from Alexandria via LeMat-Bulk: crystalline YTmNb at its relaxed geometry (PBE-GGA).

## Properties
**M_tot**: 0.0 μB/cell
**E**: -6.907 eV per atom
**Energy of formation**: 0.10 eV/atom

Cell lengths 3.513, 3.513, 12.933 Å; angles 90.00, 90.00, 90.00 degrees
Space group P4/nmm (No. 129, origin choice 2)
Symmetry-distinct sites (fractional):
1 Y 0.250 0.250 0.206 x2
2 Tm 0.250 0.250 0.590 x2
3 Nb 0.250 0.250 0.951 x2

Entry from Alexandria via LeMat-Bulk: crystalline YTmNb4 at its relaxed geometry (PBE-GGA).

## Properties
**M_tot**: 0.0 μB/cell
**E**: -8.368 eV per atom
**Energy of formation**: 0.17 eV/atom

Cell lengths 8.084, 8.084, 8.084 Å; angles 90.00, 90.00, 90.00 degrees
Space group F-43m (No. 216)
Symmetry-distinct sites (fractional):
1 Y 0.000 0.000 0.000 x4
2 Tm 0.250 0.250 0.250 x4
3 Nb 0.125 0.125 0.625 x16

Entry from Alexandria via LeMat-Bulk: crystalline TmNbZn at its relaxed geometry (PBE-GGA).

## Properties
**M_tot**: 0.0 μB/cell
**E**: -5.276 eV per atom
**Energy of formation**: 0.00 eV/atom

Cell lengths 4.977, 4.989, 10.053 Å; angles 90.00, 90.00, 90.00 degrees
Space group Cmmm (No. 65)
Symmetry-distinct sites (fractional):
1 Tm 0.000 0.000 0.183 x4
2 Nb 0.000 0.500 0.377 x4
3 Zn 0.000 0.000 0.500 x2
4 Zn 0.000 0.500 0.000 x2

Entry from Alexandria via LeMat-Bulk: crystalline TmNbZn2 at its relaxed geometry (PBE-GGA).

## Properties
**Energy above the most stable polymorph in this dataset**: 0.0 meV per atom
**M_tot**: 0.0 μB/cell
**E**: -4.358 eV per atom
**Energy of formation**: -0.09 eV/atom

Cell lengths 3.328, 3.328, 6.726 Å; angles 90.00, 90.00, 90.00 degrees
Space group P4/mmm (No. 123)
Symmetry-distinct sites (fractional):
1 Tm 0.000 0.000 0.000 x1
2 Nb 0.000 0.000 0.500 x1
3 Zn 0.500 0.500 0.272 x2

Entry from Alexandria via LeMat-Bulk: crystalline TmNbZn4 at its relaxed geometry (PBE-GGA).

## Properties
**M_tot**: 9.5 μB/cell
**E**: -3.440 eV per atom
**Energy of formation**: -0.17 eV/atom

Cell lengths 7.410, 7.410, 7.410 Å; angles 90.00, 90.00, 90.00 degrees
Space group F-43m (No. 216)
Symmetry-distinct sites (fractional):
1 Tm 0.000 0.000 0.000 x4
2 Nb 0.250 0.250 0.750 x4
3 Zn 0.124 0.124 0.376 x16

Entry from Alexandria via LeMat-Bulk: crystalline U3Nb at its relaxed geometry (PBE-GGA).

## Properties
**Energy above the most stable polymorph in this dataset**: 0.0 meV per atom
**M_tot**: 0.0 μB/cell
**E**: -10.651 eV per atom
**Energy of formation**: 0.33 eV/atom

Cell lengths 5.9238, 5.9238, 5.4787 Å; angles 90.00, 90.00, 120.00 degrees
Space group P6_3/mmc (No. 194)
Symmetry-distinct sites (fractional):
1 U 0.1769 0.3538 0.2500 x6
2 Nb 0.3333 0.6667 0.7500 x2

Entry from Alexandria via LeMat-Bulk: crystalline U5Nb at its relaxed geometry (PBE-GGA).

## Properties
**M_tot**: 0.1 μB/cell
**E**: -10.832 eV per atom
**Energy of formation**: 0.25 eV/atom

Cell lengths 3.940, 15.811, 3.894 Å; angles 90.00, 90.00, 90.00 degrees
Space group Cmmm (No. 65)
Symmetry-distinct sites (fractional):
1 U 0.000 0.000 0.000 x2
2 U 0.000 0.165 0.500 x4
3 U 0.000 0.329 0.000 x4
4 Nb 0.000 0.500 0.500 x2

Entry from Alexandria via LeMat-Bulk: crystalline U2Nb at its relaxed geometry (PBE-GGA).

## Properties
**M_tot**: 0.0 μB/cell
**E**: -10.763 eV per atom
**Energy of formation**: 0.12 eV/atom

Cell lengths 3.470, 3.470, 9.938 Å; angles 90.00, 90.00, 90.00 degrees
Space group I4/mmm (No. 139)
Symmetry-distinct sites (fractional):
1 U 0.000 0.000 0.182 x4
2 Nb 0.000 0.000 0.500 x2

Entry from Alexandria via LeMat-Bulk: crystalline UNb at its relaxed geometry (PBE-GGA).

## Properties
**Energy above the most stable polymorph in this dataset**: 0.0 meV per atom
**M_tot**: 0.0 μB/cell
**E**: -10.490 eV per atom
**Energy of formation**: 0.19 eV/atom

Cell lengths 3.244, 4.950, 4.852 Å; angles 90.00, 90.00, 90.00 degrees
Space group Cmmm (No. 65)
Symmetry-distinct sites (fractional):
1 U 0.000 0.000 0.000 x2
2 Nb 0.000 0.500 0.500 x2

Entry from Alexandria via LeMat-Bulk: crystalline UNb at its relaxed geometry (PBE-GGA).

## Properties
**Energy above the most stable polymorph in this dataset**: 65.1 meV per atom
**M_tot**: 1.4 μB/cell
**E**: -10.425 eV per atom
**Energy of formation**: 0.25 eV/atom

Cell lengths 2.859, 4.870, 5.675 Å; angles 90.00, 90.00, 90.00 degrees
Space group Pmmn (No. 59, origin choice 2)
Symmetry-distinct sites (fractional):
1 U 0.250 0.250 0.095 x2
2 Nb 0.250 0.250 0.588 x2

Entry from Alexandria via LeMat-Bulk: crystalline U3Nb at its relaxed geometry (PBE-GGA).

## Properties
**Energy above the most stable polymorph in this dataset**: 439.1 meV per atom
**M_tot**: 0.0 μB/cell
**E**: -10.212 eV per atom
**Energy of formation**: 0.77 eV/atom

Cell lengths 3.846, 3.846, 5.515 Å; angles 90.00, 90.00, 90.00 degrees
Space group P4/mmm (No. 123)
Symmetry-distinct sites (fractional):
1 U 0.000 0.000 0.000 x1
2 U 0.000 0.000 0.500 x1
3 U 0.500 0.500 0.000 x1
4 Nb 0.500 0.500 0.500 x1

Entry from Alexandria via LeMat-Bulk: crystalline U6Nb at its relaxed geometry (PBE-GGA).

## Properties
**M_tot**: 0.7 μB/cell
**E**: -9.839 eV per atom
**Energy of formation**: 1.27 eV/atom

Cell lengths 7.052, 7.052, 7.052 Å; angles 90.00, 90.00, 90.00 degrees
Space group Im-3m (No. 229)
Symmetry-distinct sites (fractional):
1 U 0.000 0.250 0.500 x12
2 Nb 0.000 0.000 0.000 x2